<a>
LaInPd3 PBE-GGA relaxed; size of the total moment = 0.0 Bohr magnetons per cell
1.0
4.983 0.000 0.000
0.000 4.983 0.000
0.000 0.000 4.983
La In Pd
1 1 3
Direct
0.000 0.000 0.000
0.500 0.500 0.500
0.000 0.500 0.500
0.500 0.000 0.500
0.500 0.500 0.000

***

<b>
LaInPd3 PBE-GGA relaxed; size of the total moment = 0.0 Bohr magnetons per cell
1.0
5.192 0.000 0.000
0.000 5.192 0.000
0.000 0.000 5.192
La In Pd
1 1 3
Direct
0.000 0.000 0.000
0.500 0.500 0.500
0.000 0.000 0.500
0.000 0.500 0.000
0.500 0.000 0.000

***

Which of them is the most stable, and which is the least stable? <a> and <b>, in that order.

***

<a>
LaInPd6 PBE-GGA relaxed; size of the total moment = 0.0 Bohr magnetons per cell
1.0
4.167 0.000 0.000
0.000 4.167 0.000
0.000 0.000 8.167
La In Pd
1 1 6
Direct
0.000 0.000 0.000
0.000 0.000 0.500
0.000 0.500 0.264
0.000 0.500 0.736
0.500 0.000 0.264
0.500 0.000 0.736
0.500 0.500 0.000
0.500 0.500 0.500

***

<b>
LaInPd6 PBE-GGA relaxed; size of the total moment = 0.0 Bohr magnetons per cell
1.0
5.266 0.000 0.000
0.000 5.266 0.000
0.000 0.000 5.266
La In Pd
1 1 6
Direct
0.000 0.000 0.000
0.500 0.500 0.500
0.000 0.254 0.500
0.000 0.746 0.500
0.254 0.500 0.000
0.500 0.000 0.254
0.500 0.000 0.746
0.746 0.500 0.000

***

Which of them is the most stable, and which is the least stable? <a> and <b>, in that order.

***

<a>
La6In3Pd PBE-GGA relaxed; size of the total moment = 0.0 Bohr magnetons per cell
1.0
9.684 0.000 0.000
0.000 5.423 0.000
-3.441 0.000 11.596
La In Pd
12 6 2
Direct
0.031 0.250 0.414
0.171 0.750 0.171
0.281 0.250 0.006
0.360 0.750 0.831
0.375 0.250 0.355
0.411 0.250 0.626
0.589 0.750 0.374
0.625 0.750 0.645
0.640 0.250 0.169
0.719 0.750 0.994
0.829 0.250 0.829
0.969 0.750 0.586
0.031 0.750 0.880
0.120 0.250 0.725
0.267 0.750 0.472
0.733 0.250 0.528
0.880 0.750 0.275
0.969 0.250 0.120
0.459 0.750 0.111
0.541 0.250 0.889

***

<b>
La6In3Pd PBE-GGA relaxed; size of the total moment = 0.0 Bohr magnetons per cell
1.0
9.686 0.000 0.000
0.000 11.745 0.000
0.000 0.000 5.605
La In Pd
12 6 2
Direct
0.002 0.236 0.000
0.160 0.062 0.500
0.175 0.444 0.500
0.325 0.944 0.000
0.340 0.562 0.000
0.498 0.736 0.500
0.502 0.264 0.500
0.660 0.438 0.000
0.675 0.056 0.000
0.825 0.556 0.500
0.840 0.938 0.500
0.998 0.764 0.000
0.000 0.500 0.000
0.165 0.749 0.500
0.335 0.249 0.000
0.500 0.000 0.500
0.665 0.751 0.000
0.835 0.251 0.500
0.000 0.000 0.000
0.500 0.500 0.500

***

Which of them is the most stable, and which is the least stable? <a> and <b>, in that order.

***

<a>
LaIn3Pd3 PBE-GGA relaxed; size of the total moment = 0.0 Bohr magnetons per cell
1.0
8.947 0.000 0.000
-4.474 7.749 0.000
0.000 0.000 4.566
La In Pd
2 6 6
Direct
0.333 0.667 0.250
0.667 0.333 0.750
0.038 0.281 0.750
0.243 0.962 0.750
0.281 0.243 0.250
0.719 0.757 0.750
0.757 0.038 0.250
0.962 0.719 0.250
0.053 0.611 0.750
0.389 0.443 0.750
0.443 0.053 0.250
0.557 0.947 0.750
0.611 0.557 0.250
0.947 0.389 0.250

***

<b>
LaIn3Pd3 PBE-GGA relaxed; size of the total moment = 0.3 Bohr magnetons per cell
1.0
7.275 0.000 0.000
0.000 7.275 0.000
0.000 0.000 7.275
La In Pd
2 6 6
Direct
0.000 0.000 0.000
0.500 0.500 0.500
0.000 0.250 0.500
0.000 0.750 0.500
0.250 0.500 0.000
0.500 0.000 0.250
0.500 0.000 0.750
0.750 0.500 0.000
0.000 0.500 0.250
0.000 0.500 0.750
0.250 0.000 0.500
0.500 0.250 0.000
0.500 0.750 0.000
0.750 0.000 0.500

***

Which of them is the most stable, and which is the least stable? <a> and <b>, in that order.

***

<a>
La4InPd PBE-GGA relaxed; size of the total moment = 0.0 Bohr magnetons per cell
1.0
4.505 -7.298 0.000
4.505 7.298 0.000
-2.360 0.000 5.654
La In Pd
8 2 2
Direct
0.078 0.694 0.928
0.204 0.360 0.647
0.306 0.922 0.572
0.360 0.204 0.147
0.640 0.796 0.853
0.694 0.078 0.428
0.796 0.640 0.353
0.922 0.306 0.072
0.384 0.616 0.250
0.616 0.384 0.750
0.004 0.996 0.250
0.996 0.004 0.750

***

<b>
La4InPd PBE-GGA relaxed; size of the total moment = 0.0 Bohr magnetons per cell
1.0
0.000 7.220 7.220
7.220 0.000 7.220
7.220 7.220 0.000
La In Pd
16 4 4
Direct
0.185 0.185 0.815
0.185 0.815 0.185
0.185 0.815 0.815
0.399 0.399 0.399
0.399 0.399 0.803
0.399 0.803 0.399
0.552 0.552 0.948
0.552 0.948 0.552
0.552 0.948 0.948
0.803 0.399 0.399
0.815 0.185 0.185
0.815 0.185 0.815
0.815 0.815 0.185
0.948 0.552 0.552
0.948 0.552 0.948
0.948 0.948 0.552
0.170 0.170 0.170
0.170 0.170 0.489
0.170 0.489 0.170
0.489 0.170 0.170
0.177 0.608 0.608
0.608 0.177 0.608
0.608 0.608 0.177
0.608 0.608 0.608

***

Which of them is the most stable, and which is the least stable? <b> and <a>, in that order.

***

<a>
LaPmIn4 PBE-GGA relaxed; size of the total moment = 0.0 Bohr magnetons per cell
1.0
5.024 0.000 0.000
-2.512 4.351 0.000
0.000 0.000 7.537
La Pm In
1 1 4
Direct
0.000 0.000 0.000
0.000 0.000 0.500
0.333 0.667 0.257
0.333 0.667 0.743
0.667 0.333 0.257
0.667 0.333 0.743

***

<b>
LaPmIn4 PBE-GGA relaxed; size of the total moment = 0.0 Bohr magnetons per cell
1.0
0.000 4.325 4.325
4.325 0.000 4.325
4.325 4.325 0.000
La Pm In
1 1 4
Direct
0.000 0.000 0.000
0.750 0.750 0.750
0.375 0.375 0.375
0.375 0.375 0.875
0.375 0.875 0.375
0.875 0.375 0.375

***

Which of them is the most stable, and which is the least stable? <a> and <b>, in that order.

***

<a>
LaPm2In2 PBE-GGA relaxed; size of the total moment = 0.0 Bohr magnetons per cell
1.0
-2.332 2.332 15.170
2.332 -2.332 15.170
2.332 2.332 -15.170
La Pm In
2 4 4
Direct
0.133 0.133 0.000
0.867 0.867 0.000
0.250 0.750 0.500
0.427 0.427 0.000
0.573 0.573 0.000
0.750 0.250 0.500
0.000 0.500 0.500
0.326 0.326 0.000
0.500 0.000 0.500
0.674 0.674 0.000

***

<b>
LaPm2In2 PBE-GGA relaxed; size of the total moment = 0.0 Bohr magnetons per cell
1.0
2.251 -13.161 0.000
2.251 13.161 0.000
0.000 0.000 5.110
La Pm In
2 4 4
Direct
0.144 0.856 0.750
0.856 0.144 0.250
0.050 0.950 0.250
0.238 0.762 0.250
0.762 0.238 0.750
0.950 0.050 0.750
0.351 0.649 0.750
0.456 0.544 0.250
0.544 0.456 0.750
0.649 0.351 0.250

***

Which of them is the most stable, and which is the least stable? <b> and <a>, in that order.

***

<a>
La5Pm4In PBE-GGA relaxed; size of the total moment = 0.0 Bohr magnetons per cell
1.0
-5.275 5.275 3.148
5.275 -5.275 3.148
5.275 5.275 -3.148
La Pm In
5 4 1
Direct
0.000 0.000 0.000
0.058 0.438 0.997
0.061 0.058 0.620
0.438 0.441 0.380
0.441 0.061 0.003
0.058 0.742 0.313
0.428 0.745 0.687
0.742 0.428 0.683
0.745 0.058 0.317
0.514 0.514 0.000

***

<b>
La5Pm4In PBE-GGA relaxed; size of the total moment = 0.0 Bohr magnetons per cell
1.0
4.300 0.000 0.000
0.000 4.300 0.000
0.000 0.000 18.724
La Pm In
5 4 1
Direct
0.000 0.000 0.000
0.000 0.000 0.201
0.000 0.000 0.413
0.000 0.000 0.587
0.000 0.000 0.799
0.500 0.500 0.102
0.500 0.500 0.305
0.500 0.500 0.695
0.500 0.500 0.898
0.500 0.500 0.500

***

Which of them is the most stable, and which is the least stable? <b> and <a>, in that order.

***

<a>
LaPmIn PBE-GGA relaxed; size of the total moment = 0.0 Bohr magnetons per cell
1.0
-2.079 2.079 5.352
2.079 -2.079 5.352
2.079 2.079 -5.352
La Pm In
1 1 1
Direct
0.000 0.000 0.000
0.312 0.312 0.000
0.663 0.663 0.000

***

<b>
LaPmIn PBE-GGA relaxed; size of the total moment = 0.0 Bohr magnetons per cell
1.0
5.346 0.000 0.000
-2.673 4.630 0.000
0.000 0.000 3.767
La Pm In
1 1 1
Direct
0.000 0.000 0.000
0.667 0.333 0.601
0.333 0.667 0.347

***

<c>
LaPmIn PBE-GGA relaxed; size of the total moment = 0.0 Bohr magnetons per cell
1.0
5.912 0.000 0.000
0.000 5.925 0.000
0.000 0.000 10.401
La Pm In
4 4 4
Direct
0.249 0.250 0.172
0.251 0.750 0.672
0.749 0.250 0.328
0.751 0.750 0.828
0.249 0.250 0.852
0.251 0.750 0.352
0.749 0.250 0.648
0.751 0.750 0.148
0.249 0.250 0.507
0.251 0.750 0.007
0.749 0.250 0.993
0.751 0.750 0.493

***

Which of them is the most stable, and which is the least stable? <c> and <b>, in that order.

***

<a>
La3PmIn2 PBE-GGA relaxed; size of the total moment = 0.0 Bohr magnetons per cell
1.0
5.323 0.000 0.000
0.000 10.490 0.000
0.000 0.000 6.922
La Pm In
6 2 4
Direct
0.000 0.052 0.000
0.000 0.316 0.390
0.000 0.684 0.890
0.000 0.948 0.500
0.500 0.180 0.773
0.500 0.820 0.273
0.500 0.457 0.126
0.500 0.543 0.626
0.000 0.371 0.869
0.000 0.629 0.369
0.500 0.140 0.282
0.500 0.860 0.782

***

<b>
La3PmIn2 PBE-GGA relaxed; size of the total moment = 0.0 Bohr magnetons per cell
1.0
9.572 -2.499 0.000
9.572 2.499 0.000
-3.677 0.000 7.932
La Pm In
6 2 4
Direct
0.065 0.065 0.186
0.300 0.300 0.523
0.379 0.379 0.972
0.621 0.621 0.028
0.700 0.700 0.477
0.935 0.935 0.814
0.114 0.114 0.680
0.886 0.886 0.320
0.243 0.243 0.118
0.487 0.487 0.648
0.513 0.513 0.352
0.757 0.757 0.882

***

Which of them is the most stable, and which is the least stable? <a> and <b>, in that order.